# RbNa2SbPt PBE optimized geometry
data_RbNa2SbPt
_chemical_formula_sum 'Rb1 Na2 Sb1 Pt1'
_cell_length_a 5.671
_cell_length_b 5.671
_cell_length_c 5.096
_cell_angle_alpha 90.00
_cell_angle_beta 90.00
_cell_angle_gamma 90.00
_symmetry_space_group_name_H-M 'P 4/m m m'
_symmetry_Int_Tables_number 123
_symmetry_space_group_name_Hall '-P 4 2'
loop_
_atom_site_label
_atom_site_type_symbol
_atom_site_fract_x
_atom_site_fract_y
_atom_site_fract_z
Rb1 Rb 0.000 0.000 0.000
Na1 Na 0.000 0.500 0.500
Sb1 Sb 0.500 0.500 0.000
Pt1 Pt 0.500 0.500 0.500
# formation energy without anion corrections: -6.8 kcal/mol of atoms
# total DFT energy (no corrections): -3.05 eV/atom
# DOS at the Fermi energy: 1.8 states/eV per cell

=====

# SbP3O9 PBE optimized geometry
data_SbP3O9
_chemical_formula_sum 'Sb4 P12 O36'
_cell_length_a 14.338
_cell_length_b 6.736
_cell_length_c 10.263
_cell_angle_alpha 90.00
_cell_angle_beta 127.59
_cell_angle_gamma 90.00
_symmetry_space_group_name_H-M 'C 1 c 1'
_symmetry_Int_Tables_number 9
_symmetry_space_group_name_Hall 'C -2yc'
loop_
_atom_site_label
_atom_site_type_symbol
_atom_site_fract_x
_atom_site_fract_y
_atom_site_fract_z
Sb1 Sb 0.000 0.239 0.000
P1 P 0.150 0.105 0.842
P2 P 0.236 0.411 0.721
P3 P 0.344 0.077 0.666
O1 O 0.045 0.131 0.841
O2 O 0.145 0.061 0.241
O3 O 0.150 0.441 0.093
O4 O 0.169 0.314 0.788
O5 O 0.242 0.234 0.621
O6 O 0.267 0.091 0.029
O7 O 0.356 0.477 0.862
O8 O 0.393 0.017 0.330
O9 O 0.429 0.169 0.646
# formation energy without anion corrections: -45.2 kcal/mol of atoms
# total DFT energy (no corrections): -6.96 eV/atom
# DOS at the Fermi energy: 0.0 states/eV per cell

=====

> What is the formula in the second record?

SbP3O9

=====

> Which of these has the highest total DFT energy (no corrections)?

RbNa2SbPt